Compound: NiSbHPt2
Source: Alexandria
Functional: GGA-PBE
Structure: optimized geometry

Cell: 4.958 4.958 2.995 Å, 90.00 90.00 90.00°
Positions (direct):
1 Ni 0.000 0.000 0.000
2 Sb 0.500 0.500 0.500
3 H 0.000 0.000 0.500
4 Pt 0.000 0.500 0.000
5 Pt 0.500 0.000 0.000

Computed properties:
symmetry	P4/mmm (123)
energy relative to the lowest polymorph listed for this composition	203.0	meV/atom



Compound: BeP3Rh
Source: Alexandria
Functional: GGA-PBE
Structure: optimized geometry

Cell: 4.150 4.150 4.150 Å, 90.00 90.00 90.00°
Positions (direct):
1 Be 0.000 0.000 0.000
2 P 0.000 0.000 0.500
3 P 0.000 0.500 0.000
4 P 0.500 0.000 0.000
5 Rh 0.500 0.500 0.500

Computed properties:
symmetry	Pm-3m (221)
energy of formation	0.66	eV per atom
energy relative to the lowest polymorph listed for this composition	0.0	meV/atom



Compound: Mg2Cd6Rh
Source: Alexandria
Functional: GGA-PBE
Structure: optimized geometry

Cell: 8.365 8.365 3.345 Å, 96.48 96.48 125.02°
Positions (direct):
1 Mg 0.143 0.857 0.000
2 Mg 0.857 0.143 0.000
3 Cd 0.167 0.503 0.677
4 Cd 0.310 0.310 0.168
5 Cd 0.497 0.833 0.323
6 Cd 0.503 0.167 0.677
7 Cd 0.690 0.690 0.832
8 Cd 0.833 0.497 0.323
9 Rh 0.000 0.000 0.500

Computed properties:
symmetry	C2/m (12)
energy of formation	-0.10	eV per atom
energy relative to the lowest polymorph listed for this composition	29.8	meV/atom



Compound: Cd2TcSe
Source: Alexandria
Functional: GGA-PBE
Structure: optimized geometry

Cell: 4.808 4.808 4.808 Å, 60.00 60.00 60.00°
Positions (direct):
1 Cd 0.000 0.000 0.000
2 Cd 0.250 0.250 0.250
3 Tc 0.500 0.500 0.500
4 Se 0.750 0.750 0.750

Computed properties:
formation energy from raw total energies	2.16	eV/f.u.
symmetry	F-43m (216)



Compound: Ho6AsC2
Source: Alexandria
Functional: GGA-PBE
Structure: optimized geometry

Cell: 6.773 6.773 8.479 Å, 120.92 120.92 41.99°
Positions (direct):
1 Ho 0.033 0.033 0.203
2 Ho 0.307 0.307 0.929
3 Ho 0.344 0.344 0.416
4 Ho 0.656 0.656 0.584
5 Ho 0.693 0.693 0.071
6 Ho 0.967 0.967 0.797
7 As 0.000 0.000 0.500
8 C 0.180 0.180 0.092
9 C 0.820 0.820 0.908

Computed properties:
symmetry	C2/m (12)
energy of formation	-0.40	eV per atom



Compound: Tm2SiAu
Source: Alexandria
Functional: GGA-PBE
Structure: optimized geometry

Cell: 4.190 5.709 5.709 Å, 41.21 90.00 90.00°
Positions (direct):
1 Tm 0.000 0.000 0.000
2 Tm 0.500 0.281 0.281
3 Si 0.500 0.558 0.558
4 Au 0.000 0.721 0.721

Computed properties:
formation energy from raw total energies	-3.27	eV/f.u.
symmetry	Amm2 (38)



Compound: Tb4Dy3Sn4
Source: Alexandria
Functional: GGA-PBE
Structure: optimized geometry

Cell: 10.643 10.643 10.643 Å, 160.79 126.60 57.28°
Positions (direct):
1 Tb 0.017 0.836 0.181
2 Tb 0.345 0.164 0.181
3 Tb 0.655 0.836 0.819
4 Tb 0.983 0.164 0.819
5 Dy 0.000 0.500 0.500
6 Dy 0.408 0.408 0.000
7 Dy 0.592 0.592 0.000
8 Sn 0.272 0.772 0.500
9 Sn 0.279 0.000 0.279
10 Sn 0.721 0.000 0.721
11 Sn 0.728 0.228 0.500

Computed properties:
symmetry	Immm (71)
energy of formation	-0.53	eV per atom



Compound: KLiGaAu3
Source: Alexandria
Functional: GGA-PBE
Structure: optimized geometry

Cell: 6.969 6.969 6.330 Å, 90.00 90.00 121.09°
Positions (direct):
1 K 0.213 0.787 0.750
2 K 0.787 0.213 0.250
3 Li 0.445 0.555 0.750
4 Li 0.555 0.445 0.250
5 Ga 0.126 0.874 0.250
6 Ga 0.874 0.126 0.750
7 Au 0.221 0.221 0.000
8 Au 0.221 0.221 0.500
9 Au 0.340 0.660 0.250
10 Au 0.660 0.340 0.750
11 Au 0.779 0.779 0.000
12 Au 0.779 0.779 0.500

Computed properties:
symmetry	Cmcm (63)
energy of formation	-0.27	eV per atom



Compound: ZrBeRh
Source: Alexandria
Functional: GGA-PBE
Structure: optimized geometry

Cell: 6.973 6.973 4.695 Å, 90.00 90.00 154.95°
Positions (direct):
1 Zr 0.164 0.836 0.750
2 Zr 0.836 0.164 0.250
3 Be 0.500 0.500 0.000
4 Be 0.500 0.500 0.500
5 Rh 0.361 0.639 0.750
6 Rh 0.639 0.361 0.250

Computed properties:
symmetry	Cmcm (63)
energy of formation	-0.29	eV per atom
energy relative to the lowest polymorph listed for this composition	365.3	meV/atom



Compound: SrSc
Source: Alexandria
Functional: GGA-PBE
Structure: optimized geometry

Cell: 7.532 7.532 8.383 Å, 104.73 104.73 28.87°
Positions (direct):
1 Sr 0.000 0.000 0.000
2 Sr 0.039 0.039 0.516
3 Sr 0.315 0.315 0.634
4 Sc 0.338 0.338 0.193
5 Sc 0.684 0.684 0.275
6 Sc 0.704 0.704 0.916

Computed properties:
symmetry	Cm (8)
energy of formation	0.27	eV per atom
energy relative to the lowest polymorph listed for this composition	75.5	meV/atom



Compound: Tl2IrOs
Source: Alexandria
Functional: GGA-PBE
Structure: optimized geometry

Cell: 4.692 4.692 4.692 Å, 60.00 60.00 60.00°
Positions (direct):
1 Tl 0.250 0.250 0.250
2 Tl 0.750 0.750 0.750
3 Ir 0.000 0.000 0.000
4 Os 0.500 0.500 0.500

Computed properties:
symmetry	Fm-3m (225)
energy of formation	0.92	eV per atom
energy relative to the lowest polymorph listed for this composition	402.0	meV/atom



Compound: CrOs2Pt
Source: Alexandria
Functional: GGA-PBE
Structure: optimized geometry

Cell: 4.708 4.708 4.690 Å, 99.93 99.93 33.62°
Positions (direct):
1 Cr 0.000 0.000 0.000
2 Os 0.491 0.491 0.468
3 Os 0.744 0.744 0.248
4 Pt 0.248 0.248 0.752

Computed properties:
symmetry	Cm (8)
energy of formation	0.07	eV per atom



Compound: CaPm2Ga
Source: Alexandria
Functional: GGA-PBE
Structure: optimized geometry

Cell: 5.453 5.453 5.453 Å, 60.00 60.00 60.00°
Positions (direct):
1 Ca 0.000 0.000 0.000
2 Pm 0.250 0.250 0.250
3 Pm 0.750 0.750 0.750
4 Ga 0.500 0.500 0.500

Computed properties:
symmetry	Fm-3m (225)
energy of formation	-0.13	eV per atom
energy relative to the lowest polymorph listed for this composition	100.4	meV/atom



Compound: Na2SmY3Te6
Source: Alexandria
Functional: GGA-PBE
Structure: optimized geometry

Cell: 7.632 7.632 7.756 Å, 99.44 99.44 119.96°
Positions (direct):
1 Na 0.166 0.834 0.000
2 Na 0.834 0.166 0.000
3 Sm 0.500 0.500 0.000
4 Y 0.000 0.000 0.500
5 Y 0.332 0.668 0.500
6 Y 0.668 0.332 0.500
7 Te 0.082 0.415 0.744
8 Te 0.254 0.254 0.258
9 Te 0.415 0.082 0.744
10 Te 0.585 0.918 0.256
11 Te 0.746 0.746 0.742
12 Te 0.918 0.585 0.256

Computed properties:
formation energy from raw total energies	-16.04	eV/f.u.
symmetry	C2/m (12)



Compound: LaTh2NiN4
Source: Alexandria
Functional: GGA-PBE
Structure: optimized geometry

Cell: 6.207 6.207 11.946 Å, 90.00 90.00 146.29°
Positions (direct):
1 La 0.103 0.897 0.750
2 La 0.897 0.103 0.250
3 Th 0.368 0.632 0.559
4 Th 0.368 0.632 0.941
5 Th 0.632 0.368 0.059
6 Th 0.632 0.368 0.441
7 Ni 0.161 0.839 0.250
8 Ni 0.839 0.161 0.750
9 N 0.000 0.000 0.000
10 N 0.000 0.000 0.500
11 N 0.266 0.734 0.118
12 N 0.266 0.734 0.382
13 N 0.447 0.553 0.750
14 N 0.553 0.447 0.250
15 N 0.734 0.266 0.618
16 N 0.734 0.266 0.882

Computed properties:
formation energy from raw total energies	-9.68	eV/f.u.
symmetry	Cmcm (63)



Compound: LaYAg3
Source: Alexandria
Functional: GGA-PBE
Structure: optimized geometry

Cell: 5.342 5.342 5.342 Å, 90.00 90.00 90.00°
Positions (direct):
1 La 0.000 0.000 0.000
2 Y 0.500 0.500 0.500
3 Ag 0.000 0.500 0.500
4 Ag 0.500 0.000 0.500
5 Ag 0.500 0.500 0.000

Computed properties:
symmetry	Pm-3m (221)
energy of formation	0.37	eV per atom
energy relative to the lowest polymorph listed for this composition	650.3	meV/atom



Compound: YIn2Ag
Source: Alexandria
Functional: GGA-PBE
Structure: optimized geometry

Cell: 9.093 9.093 9.093 Å, 149.98 149.98 42.97°
Positions (direct):
1 Y 0.130 0.130 0.000
2 Y 0.870 0.870 0.000
3 In 0.000 0.500 0.500
4 In 0.355 0.355 0.000
5 In 0.500 0.000 0.500
6 In 0.645 0.645 0.000
7 Ag 0.250 0.750 0.500
8 Ag 0.750 0.250 0.500

Computed properties:
symmetry	I4/mmm (139)
energy of formation	-0.39	eV per atom



Compound: Cs3Cu5Br12
Source: Alexandria
Functional: GGA-PBE
Structure: optimized geometry

Cell: 14.950 14.950 14.950 Å, 109.47 109.47 109.47°
Positions (direct):
1 Cs 0.125 0.250 0.375
2 Cs 0.125 0.375 0.750
3 Cs 0.250 0.375 0.125
4 Cs 0.250 0.875 0.625
5 Cs 0.375 0.125 0.250
6 Cs 0.375 0.750 0.125
7 Cs 0.625 0.250 0.875
8 Cs 0.625 0.875 0.750
9 Cs 0.750 0.125 0.375
10 Cs 0.750 0.625 0.875
11 Cs 0.875 0.625 0.250
12 Cs 0.875 0.750 0.625
13 Cu 0.000 0.000 0.000
14 Cu 0.000 0.000 0.500
15 Cu 0.000 0.500 0.000
16 Cu 0.000 0.500 0.500
17 Cu 0.125 0.750 0.875
18 Cu 0.125 0.875 0.250
19 Cu 0.250 0.125 0.875
20 Cu 0.250 0.625 0.375
21 Cu 0.375 0.250 0.625
22 Cu 0.375 0.625 0.750
23 Cu 0.500 0.000 0.000
24 Cu 0.500 0.000 0.500
25 Cu 0.500 0.500 0.000
26 Cu 0.500 0.500 0.500
27 Cu 0.625 0.375 0.250
28 Cu 0.625 0.750 0.375
29 Cu 0.750 0.375 0.625
30 Cu 0.750 0.875 0.125
31 Cu 0.875 0.125 0.750
32 Cu 0.875 0.250 0.125
33 Br 0.001 0.684 0.102
34 Br 0.001 0.817 0.900
35 Br 0.082 0.683 0.684
36 Br 0.082 0.900 0.398
37 Br 0.100 0.602 0.918
38 Br 0.100 0.999 0.183
39 Br 0.102 0.001 0.684
40 Br 0.102 0.600 0.418
41 Br 0.183 0.100 0.999
42 Br 0.183 0.582 0.184
43 Br 0.184 0.183 0.582
44 Br 0.184 0.501 0.602
45 Br 0.316 0.898 0.999
46 Br 0.316 0.918 0.317
47 Br 0.317 0.316 0.918
48 Br 0.317 0.501 0.400
49 Br 0.398 0.082 0.900
50 Br 0.398 0.816 0.499
51 Br 0.400 0.317 0.501
52 Br 0.400 0.582 0.898
53 Br 0.418 0.102 0.600
54 Br 0.418 0.816 0.817
55 Br 0.499 0.398 0.816
56 Br 0.499 0.600 0.683
57 Br 0.501 0.400 0.317
58 Br 0.501 0.602 0.184
59 Br 0.582 0.184 0.183
60 Br 0.582 0.898 0.400
61 Br 0.600 0.418 0.102
62 Br 0.600 0.683 0.499
63 Br 0.602 0.184 0.501
64 Br 0.602 0.918 0.100
65 Br 0.683 0.499 0.600
66 Br 0.683 0.684 0.082
67 Br 0.684 0.082 0.683
68 Br 0.684 0.102 0.001
69 Br 0.816 0.499 0.398
70 Br 0.816 0.817 0.418
71 Br 0.817 0.418 0.816
72 Br 0.817 0.900 0.001
73 Br 0.898 0.400 0.582
74 Br 0.898 0.999 0.316
75 Br 0.900 0.001 0.817
76 Br 0.900 0.398 0.082
77 Br 0.918 0.100 0.602
78 Br 0.918 0.317 0.316
79 Br 0.999 0.183 0.100
80 Br 0.999 0.316 0.898

Computed properties:
formation energy from raw total energies	-13.75	eV/f.u.
symmetry	Ia-3d (230)



Compound: Y2AgRh
Source: Alexandria
Functional: GGA-PBE
Structure: optimized geometry

Cell: 6.337 6.337 6.337 Å, 104.63 104.63 119.66°
Positions (direct):
1 Y 0.097 0.625 0.972
2 Y 0.375 0.347 0.472
3 Y 0.653 0.125 0.028
4 Y 0.875 0.903 0.528
5 Ag 0.250 0.750 0.500
6 Ag 0.500 0.500 0.000
7 Rh 0.000 0.000 0.000
8 Rh 0.750 0.250 0.500

Computed properties:
symmetry	I-42d (122)
energy of formation	-0.20	eV per atom



Compound: Zn2Ga3Ag4
Source: Alexandria
Functional: GGA-PBE
Structure: optimized geometry

Cell: 8.368 8.368 4.783 Å, 99.96 99.96 72.42°
Positions (direct):
1 Zn 0.029 0.768 0.697
2 Zn 0.232 0.971 0.803
3 Zn 0.768 0.029 0.197
4 Zn 0.971 0.232 0.303
5 Ga 0.136 0.864 0.250
6 Ga 0.187 0.468 0.413
7 Ga 0.468 0.187 0.913
8 Ga 0.532 0.813 0.087
9 Ga 0.813 0.532 0.587
10 Ga 0.864 0.136 0.750
11 Ag 0.104 0.320 0.867
12 Ag 0.320 0.104 0.367
13 Ag 0.320 0.548 0.963
14 Ag 0.452 0.680 0.537
15 Ag 0.548 0.320 0.463
16 Ag 0.680 0.452 0.037
17 Ag 0.680 0.896 0.633
18 Ag 0.896 0.680 0.133

Computed properties:
symmetry	C2/c (15)
energy of formation	0.02	eV per atom
energy relative to the lowest polymorph listed for this composition	4.6	meV/atom